Record 1
{
  "formula": "VCuS3",
  "functional": "PBE-GGA",
  "state": "optimized geometry",
  "cell": [[4.558, 0.000, 0.000], [0.000, 4.558, 0.000], [0.000, 0.000, 4.558]],
  "species": ["V", "Cu", "S", "S", "S"],
  "frac_coords": [[0.000, 0.000, 0.000], [0.500, 0.500, 0.500], [0.000, 0.000, 0.500], [0.000, 0.500, 0.000], [0.500, 0.000, 0.000]],
  "formation_energy_uncorrected_kj_per_mol_atoms": 16,
  "total_magnetization_mub_per_cell": 0.00
}

***

Record 2
{
  "formula": "VCu2S4",
  "functional": "PBE-GGA",
  "state": "optimized geometry",
  "cell": [[5.414, 0.000, 0.000], [0.000, 5.414, 0.000], [0.000, 0.000, 5.443]],
  "species": ["V", "Cu", "Cu", "S", "S", "S", "S"],
  "frac_coords": [[0.000, 0.000, 0.000], [0.000, 0.500, 0.000], [0.500, 0.000, 0.000], [0.232, 0.232, 0.232], [0.232, 0.768, 0.768], [0.768, 0.232, 0.768], [0.768, 0.768, 0.232]],
  "formation_energy_uncorrected_kj_per_mol_atoms": -49,
  "total_magnetization_mub_per_cell": 0.00,
  "polymorph_energy_ev_per_atom": 0.000
}

***

Record 3
{
  "formula": "VCuS3",
  "functional": "PBE-GGA",
  "state": "optimized geometry",
  "cell": [[5.524, 0.000, 0.000], [-0.324, 5.961, 0.000], [-0.592, -2.661, 5.390]],
  "species": ["V", "V", "Cu", "Cu", "S", "S", "S", "S", "S", "S"],
  "frac_coords": [[0.000, 0.000, 0.000], [0.498, 0.894, 0.020], [0.073, 0.533, 0.285], [0.952, 0.279, 0.724], [0.185, 0.642, 0.712], [0.258, 0.909, 0.301], [0.293, 0.261, 0.991], [0.702, 0.945, 0.699], [0.760, 0.633, 0.023], [0.789, 0.238, 0.321]],
  "formation_energy_uncorrected_kj_per_mol_atoms": -49,
  "total_magnetization_mub_per_cell": 0.00
}

***

Record 4
{
  "formula": "V2Cu2S",
  "functional": "PBE-GGA",
  "state": "optimized geometry",
  "cell": [[5.996, 0.000, 0.000], [0.000, 5.996, 0.000], [0.000, 0.000, 3.907]],
  "species": ["V", "V", "V", "V", "Cu", "Cu", "Cu", "Cu", "S", "S"],
  "frac_coords": [[0.156, 0.344, 0.000], [0.344, 0.844, 0.000], [0.656, 0.156, 0.000], [0.844, 0.656, 0.000], [0.139, 0.639, 0.500], [0.361, 0.139, 0.500], [0.639, 0.861, 0.500], [0.861, 0.361, 0.500], [0.000, 0.000, 0.500], [0.500, 0.500, 0.500]],
  "formation_energy_uncorrected_kj_per_mol_atoms": 34,
  "total_magnetization_mub_per_cell": 7.26,
  "polymorph_energy_ev_per_atom": 0.000
}

***

Record 5
{
  "formula": "V4CuS8",
  "functional": "PBE-GGA",
  "state": "optimized geometry",
  "cell": [[0.000, 4.833, 4.833], [4.833, 0.000, 4.833], [4.833, 4.833, 0.000]],
  "species": ["V", "V", "V", "V", "Cu", "S", "S", "S", "S", "S", "S", "S", "S"],
  "frac_coords": [[0.388, 0.388, 0.388], [0.388, 0.388, 0.837], [0.388, 0.837, 0.388], [0.837, 0.388, 0.388], [0.000, 0.000, 0.000], [0.117, 0.628, 0.628], [0.135, 0.135, 0.135], [0.135, 0.135, 0.596], [0.135, 0.596, 0.135], [0.596, 0.135, 0.135], [0.628, 0.117, 0.628], [0.628, 0.628, 0.117], [0.628, 0.628, 0.628]],
  "formation_energy_uncorrected_kj_per_mol_atoms": -78,
  "total_magnetization_mub_per_cell": 4.99
}

***

Record 6
{
  "formula": "V3Cu4S8",
  "functional": "PBE-GGA",
  "state": "optimized geometry",
  "cell": [[3.650, 2.107, 5.941], [-3.650, 2.107, 5.941], [0.000, -4.214, 5.941]],
  "species": ["V", "V", "V", "Cu", "Cu", "Cu", "Cu", "S", "S", "S", "S", "S", "S", "S", "S"],
  "frac_coords": [[0.176, 0.176, 0.647], [0.176, 0.647, 0.176], [0.647, 0.176, 0.176], [0.423, 0.423, 0.880], [0.423, 0.880, 0.423], [0.800, 0.800, 0.800], [0.880, 0.423, 0.423], [0.012, 0.553, 0.553], [0.033, 0.033, 0.033], [0.038, 0.038, 0.559], [0.038, 0.559, 0.038], [0.514, 0.514, 0.514], [0.553, 0.012, 0.553], [0.553, 0.553, 0.012], [0.559, 0.038, 0.038]],
  "formation_energy_uncorrected_kj_per_mol_atoms": -47,
  "total_magnetization_mub_per_cell": 1.13
}